[1]
The following is a DFT calculation (GGA-PBE) of crystalline LiLuIr at its relaxed geometry.

Results
E_tot ... -15.8 eV per cell

abc: 4.2099 4.2099 4.2099
angles: 60.00 60.00 60.00
Last column: nearest neighbours and their distance in Å.
Fractional positions:
Ir 0.2500 0.2500 0.2500  4 Li 2.58
Li 0.0000 0.0000 0.0000  4 Ir 2.58, 4 Lu 2.58
Lu 0.7500 0.7500 0.7500  4 Li 2.58

=====

[2]
The following is a DFT calculation (GGA-PBE) of crystalline LiLuIr2 at its relaxed geometry.

Results
E_tot ... -25.4 eV per cell

abc: 4.5202 4.5202 4.5202
angles: 60.00 60.00 60.00
Last column: nearest neighbours and their distance in Å.
Fractional positions:
Lu 0.2500 0.2500 0.2500  4 Li 2.77, 4 Ir 2.77
Li 0.5000 0.5000 0.5000  4 Ir 2.77, 4 Lu 2.77
Ir 0.7500 0.7500 0.7500  4 Li 2.77, 4 Ir 2.77
Ir 0.0000 0.0000 0.0000  4 Ir 2.77, 4 Lu 2.77

=====

[3]
The following is a DFT calculation (GGA-PBE) of crystalline LiLuNbIr at its relaxed geometry.

Results
E_tot ... -26.6 eV per cell
E above lowest polymorph ... 0.0 kJ per mole of atoms

abc: 4.6286 4.6286 4.6286
angles: 60.00 60.00 60.00
Last column: nearest neighbours and their distance in Å.
Fractional positions:
Li 0.7500 0.7500 0.7500  4 Nb 2.83, 4 Lu 2.83
Lu 0.0000 0.0000 0.0000  4 Li 2.83, 4 Ir 2.83
Ir 0.2500 0.2500 0.2500  4 Nb 2.83, 4 Lu 2.83
Nb 0.5000 0.5000 0.5000  4 Li 2.83, 4 Ir 2.83

=====

[4]
The following is a DFT calculation (GGA-PBE) of crystalline LiLuNbIr at its relaxed geometry.

Results
E_tot ... -26.2 eV per cell
E above lowest polymorph ... 10.6 kJ per mole of atoms

abc: 4.5617 4.5617 4.5617
angles: 60.00 60.00 60.00
Last column: nearest neighbours and their distance in Å.
Fractional positions:
Ir 0.5000 0.5000 0.5000  4 Nb 2.79, 4 Li 2.79
Nb 0.2500 0.2500 0.2500  4 Ir 2.79, 4 Lu 2.79
Li 0.7500 0.7500 0.7500  4 Lu 2.79, 4 Ir 2.79
Lu 0.0000 0.0000 0.0000  4 Li 2.79, 4 Nb 2.79

=====

[5]
The following is a DFT calculation (GGA-PBE) of crystalline LiLu4Ir2Pd at its relaxed geometry.

Results
E_tot ... -49.6 eV per cell

abc: 4.8083 4.8083 6.7681
angles: 90.00 90.00 90.00
Last column: nearest neighbours and their distance in Å.
Fractional positions:
Lu 0.0000 0.5000 0.7473  4 Ir 2.93-2.95, 2 Pd 2.93, 2 Li 2.95
Li 0.0000 0.0000 0.0000  8 Lu 2.95
Lu 0.5000 0.0000 0.2527  4 Ir 2.93-2.95, 2 Pd 2.93, 2 Li 2.95
Lu 0.0000 0.5000 0.2527  4 Ir 2.93-2.95, 2 Pd 2.93, 2 Li 2.95
Pd 0.5000 0.5000 0.5000  8 Lu 2.93
Ir 0.5000 0.5000 0.0000  8 Lu 2.95
Ir 0.0000 0.0000 0.5000  8 Lu 2.93
Lu 0.5000 0.0000 0.7473  4 Ir 2.93-2.95, 2 Pd 2.93, 2 Li 2.95

=====

[6]
The following is a DFT calculation (GGA-PBE) of crystalline LiLuTaIr at its relaxed geometry.

Results
E_tot ... -28.4 eV per cell
E above lowest polymorph ... 0.0 kJ per mole of atoms

abc: 4.6187 4.6187 4.6187
angles: 60.00 60.00 60.00
Last column: nearest neighbours and their distance in Å.
Fractional positions:
Lu 0.5000 0.5000 0.5000  4 Ir 2.83, 4 Li 2.83
Ta 0.0000 0.0000 0.0000  4 Li 2.83, 4 Ir 2.83
Li 0.7500 0.7500 0.7500  4 Ta 2.83, 4 Lu 2.83
Ir 0.2500 0.2500 0.2500  4 Lu 2.83, 4 Ta 2.83

=====

[7]
The following is a DFT calculation (GGA-PBE) of crystalline LiLuTaIr at its relaxed geometry.

Results
E_tot ... -27.8 eV per cell
E above lowest polymorph ... 13.4 kJ per mole of atoms

abc: 4.5594 4.5594 4.5594
angles: 60.00 60.00 60.00
Last column: nearest neighbours and their distance in Å.
Fractional positions:
Ir 0.0000 0.0000 0.0000  4 Ta 2.79, 4 Li 2.79
Lu 0.5000 0.5000 0.5000  4 Ta 2.79, 4 Li 2.79
Li 0.7500 0.7500 0.7500  4 Lu 2.79, 4 Ir 2.79
Ta 0.2500 0.2500 0.2500  4 Lu 2.79, 4 Ir 2.79

=====

[8]
The following is a DFT calculation (GGA-PBE) of crystalline Li2MgIr at its relaxed geometry.

Results
E_tot ... -14.9 eV per cell

abc: 5.1949 5.1949 5.1949
angles: 145.38 61.82 130.49
Last column: nearest neighbours and their distance in Å.
Fractional positions:
Mg 0.9216 0.4216 0.5000  4 Ir 2.67, 6 Li 2.84-2.98
Li 0.6447 0.9114 0.7333  2 Ir 2.59, 4 Li 2.69, 2 Mg 2.84
Ir 0.4222 0.4222 0.0000  4 Li 2.59, 4 Mg 2.67
Li 0.1781 0.9114 0.2667  2 Ir 2.59, 4 Li 2.69, 2 Mg 2.84